Crystalline Ca2PmHg at its relaxed geometry. Source: the Alexandria database, functional PBE.

a = 3.6694 Å, b = 3.6694 Å, c = 35.6060 Å
α = 90.00°, β = 90.00°, γ = 120.00°
Space group R-3m (No. 166, hexagonal axes)
Asymmetric unit:
Ca (0.0000, 0.0000, 0.0999) x6
Pm (0.0000, 0.0000, 0.0000) x3
Hg (0.0000, 0.0000, 0.5000) x3

Computed properties:
E above lowest polymorph in eV per atom: 0.201
DFT formation energy in eV per atom: 0.000